[1]
CaTa2Si | PBE | relaxed

Results
E = -7.4178 eV per atom
DOS at the Fermi energy = 2.248 states/eV per cell
SG = Imm2
Raw formation energy = 364.6 meV/atom

a = 5.576 Å, b = 5.576 Å, c = 5.576 Å
α = 139.90°, β = 134.34°, γ = 62.36°
Fractional coordinates of all 4 atoms:
Ta 0.741 0.241 0.500
Ta 0.052 0.052 0.000
Si 0.232 0.732 0.500
Ca 0.474 0.474 0.000


[2]
CaTa2SiW | PBE | relaxed

Results
E = -7.2540 eV per atom
DOS at the Fermi energy = 4.849 states/eV per cell
SG = P4/mmm
Raw formation energy = 1562.6 meV/atom

a = 4.828 Å, b = 5.549 Å, c = 4.828 Å
α = 90.00°, β = 90.00°, γ = 90.00°
Fractional coordinates of all 5 atoms:
Ta 0.000 0.000 0.500
Ta 0.500 0.000 0.000
Ca 0.000 0.500 0.000
Si 0.500 0.500 0.500
W 0.000 0.000 0.000


[3]
CaTa2ZnSi | PBE | relaxed

Results
E = -5.7041 eV per atom
DOS at the Fermi energy = 4.578 states/eV per cell
SG = P4/mmm
Raw formation energy = 776.6 meV/atom

a = 4.749 Å, b = 5.184 Å, c = 4.749 Å
α = 90.00°, β = 90.00°, γ = 90.00°
Fractional coordinates of all 5 atoms:
Ca 0.000 0.500 0.000
Ta 0.000 0.000 0.500
Ta 0.500 0.000 0.000
Si 0.000 0.000 0.000
Zn 0.500 0.500 0.500


[4]
Ca3Tb3Si4 | PBE | relaxed

Results
E = -4.7459 eV per atom
DOS at the Fermi energy = 5.239 states/eV per cell
SG = Amm2
Raw formation energy = -587.1 meV/atom

a = 4.268 Å, b = 7.605 Å, c = 7.605 Å
α = 90.87°, β = 90.00°, γ = 90.00°
Fractional coordinates of all 10 atoms:
Si 0.000 0.617 0.383
Si 0.000 0.880 0.892
Si 0.000 0.108 0.120
Si 0.000 0.395 0.605
Ca 0.500 0.177 0.823
Ca 0.000 0.002 0.504
Ca 0.000 0.496 0.998
Tb 0.500 0.324 0.322
Tb 0.500 0.823 0.177
Tb 0.500 0.678 0.676


[5]
Ca2TbSi6 | PBE | relaxed

Results
E = -4.9424 eV per atom
DOS at the Fermi energy = 7.746 states/eV per cell
SG = P6/mmm
Raw formation energy = -367.8 meV/atom

a = 4.147 Å, b = 7.082 Å, c = 7.082 Å
α = 120.00°, β = 90.00°, γ = 90.00°
Fractional coordinates of all 9 atoms:
Si 0.500 0.668 0.668
Si 0.500 0.668 0.000
Si 0.500 0.000 0.668
Si 0.500 0.332 0.000
Si 0.500 0.332 0.332
Si 0.500 0.000 0.332
Tb 0.000 0.000 0.000
Ca 0.000 0.333 0.667
Ca 0.000 0.667 0.333


[6]
CaTbSi3 | PBE | relaxed

Results
E = -5.1077 eV per atom
DOS at the Fermi energy = 6.552 states/eV per cell
SG = Cmcm
Raw formation energy = -527.6 meV/atom

a = 3.956 Å, b = 4.210 Å, c = 12.678 Å
α = 99.55°, β = 90.00°, γ = 90.00°
Fractional coordinates of all 10 atoms:
Si 0.750 0.617 0.234
Si 0.750 0.329 0.657
Si 0.250 0.671 0.343
Si 0.750 0.524 0.048
Si 0.250 0.476 0.952
Si 0.250 0.383 0.766
Ca 0.250 0.797 0.594
Ca 0.750 0.203 0.406
Tb 0.250 0.069 0.138
Tb 0.750 0.931 0.862